5
Lattice="-1.871 -2.422 -2.337 2.885 -2.532 0.314 -3.310 -0.106 5.931" Properties=species:S:1:pos:R:3 comment="DyZn2Pd2 | Alexandria via LeMat-Bulk | PBE | optimized geometry" formation_enthalpy_0k_ev_per_atom=-0.6244 n_ef_per_ev_atom=0.493 magmom_total_mub_per_atom=0.0000 pbc="T T T"
Zn -2.337 -2.503 1.291
Pd -0.100 -3.037 0.055
Pd -2.195 -2.023 3.853
Zn 0.041 -2.557 2.617
Dy 0.000 0.000 0.000